Entry 1:
Mg2VSbAs | PBE-GGA | optimized geometry

## Properties
The formation energy from raw total energies is 0.056 eV per atom. The total moment is 2.9 μB per cell.

Unit cell a=4.966 b=4.966 c=4.823 alpha=90.00 beta=90.00 gamma=90.00
Element x y z (fractional)
Mg (0.000, 0.500, 0.000)
Mg (0.500, 0.000, 0.000)
V (0.000, 0.000, 0.500)
Sb (0.500, 0.500, 0.500)
As (0.000, 0.000, 0.000)

---

Entry 2:
Mg2ZnSbAs | PBE-GGA | optimized geometry

## Properties
The formation energy from raw total energies is -0.036 eV per atom. The total moment is 0.0 μB per cell.

Unit cell a=5.041 b=5.041 c=4.794 alpha=90.00 beta=90.00 gamma=90.00
Element x y z (fractional)
Mg (0.000, 0.500, 0.000)
Mg (0.500, 0.000, 0.000)
Zn (0.000, 0.000, 0.500)
Sb (0.500, 0.500, 0.500)
As (0.000, 0.000, 0.000)

---

Entry 3:
MgZr2SbAs | PBE-GGA | optimized geometry

## Properties
The formation energy from raw total energies is 0.624 eV per atom. The total moment is 0.3 μB per cell.

Unit cell a=5.365 b=5.365 c=4.985 alpha=90.00 beta=90.00 gamma=90.00
Element x y z (fractional)
Mg (0.000, 0.000, 0.000)
Zr (0.000, 0.500, 0.500)
Zr (0.500, 0.000, 0.500)
Sb (0.000, 0.000, 0.500)
As (0.500, 0.500, 0.000)

---

Entry 4:
MgSc3As | PBE-GGA | optimized geometry

## Properties
Its polymorph energy (0 for the lowest one) is 4.53 eV per formula unit. The total moment is 0.0 μB per cell.

Unit cell a=5.109 b=5.109 c=5.109 alpha=90.00 beta=90.00 gamma=90.00
Element x y z (fractional)
Mg (0.000, 0.000, 0.000)
Sc (0.000, 0.000, 0.500)
Sc (0.000, 0.500, 0.000)
Sc (0.500, 0.000, 0.000)
As (0.500, 0.500, 0.500)

---

What is the formula in the fourth record? MgSc3As